# 1
# Sm2PuTh3S6 PBE relaxed
# SG = C2/m, No. 12
data_Sm2PuTh3S6
_cell_length_a 9.015
_cell_length_b 9.015
_cell_length_c 8.037
_cell_angle_alpha 104.02
_cell_angle_beta 104.02
_cell_angle_gamma 25.70
_symmetry_space_group_name_H-M 'P 1'
_symmetry_Int_Tables_number 1
_symmetry_space_group_name_Hall 'P 1'
loop_
_atom_site_label
_atom_site_type_symbol
_atom_site_fract_x
_atom_site_fract_y
_atom_site_fract_z
_atom_site_occupancy
Sm1 Sm 0.165 0.165 0.332 1
Sm2 Sm 0.835 0.835 0.668 1
Pu1 Pu 0.500 0.500 0.000 1
Th1 Th 0.167 0.167 0.836 1
Th2 Th 0.500 0.500 0.500 1
Th3 Th 0.833 0.833 0.164 1
S1 S 0.001 0.001 0.243 1
S2 S 0.332 0.332 0.419 1
S3 S 0.336 0.336 0.914 1
S4 S 0.664 0.664 0.086 1
S5 S 0.668 0.668 0.581 1
S6 S 0.999 0.999 0.757 1



# 2
# SmPu2Th3S6 PBE relaxed
# SG = C2/m, No. 12
data_SmPu2Th3S6
_cell_length_a 6.886
_cell_length_b 6.886
_cell_length_c 7.013
_cell_angle_alpha 99.41
_cell_angle_beta 99.41
_cell_angle_gamma 119.93
_symmetry_space_group_name_H-M 'P 1'
_symmetry_Int_Tables_number 1
_symmetry_space_group_name_Hall 'P 1'
loop_
_atom_site_label
_atom_site_type_symbol
_atom_site_fract_x
_atom_site_fract_y
_atom_site_fract_z
_atom_site_occupancy
Sm1 Sm 0.000 0.000 0.000 1
Pu1 Pu 0.333 0.667 0.000 1
Pu2 Pu 0.667 0.333 0.000 1
Th1 Th 0.165 0.835 0.500 1
Th2 Th 0.500 0.500 0.500 1
Th3 Th 0.835 0.165 0.500 1
S1 S 0.081 0.417 0.242 1
S2 S 0.257 0.257 0.761 1
S3 S 0.417 0.081 0.242 1
S4 S 0.583 0.919 0.758 1
S5 S 0.743 0.743 0.239 1
S6 S 0.919 0.583 0.758 1



# 3
# SmPu2ThS4 PBE relaxed
# SG = P2/m, No. 10
data_SmPu2ThS4
_cell_length_a 6.906
_cell_length_b 3.970
_cell_length_c 6.925
_cell_angle_alpha 90.00
_cell_angle_beta 109.26
_cell_angle_gamma 90.00
_symmetry_space_group_name_H-M 'P 1'
_symmetry_Int_Tables_number 1
_symmetry_space_group_name_Hall 'P 1'
loop_
_atom_site_label
_atom_site_type_symbol
_atom_site_fract_x
_atom_site_fract_y
_atom_site_fract_z
_atom_site_occupancy
Sm1 Sm 0.000 0.000 0.000 1
Pu1 Pu 0.000 0.500 0.500 1
Pu2 Pu 0.500 0.000 0.500 1
Th1 Th 0.500 0.500 0.000 1
S1 S 0.245 0.000 0.741 1
S2 S 0.251 0.500 0.257 1
S3 S 0.749 0.500 0.743 1
S4 S 0.755 0.000 0.259 1



# 4
# Sm4PuTh3S8 PBE relaxed
# SG = R-3m, No. 166
data_Sm4PuTh3S8
_cell_length_a 8.064
_cell_length_b 8.064
_cell_length_c 8.064
_cell_angle_alpha 59.43
_cell_angle_beta 59.43
_cell_angle_gamma 59.43
_symmetry_space_group_name_H-M 'P 1'
_symmetry_Int_Tables_number 1
_symmetry_space_group_name_Hall 'P 1'
loop_
_atom_site_label
_atom_site_type_symbol
_atom_site_fract_x
_atom_site_fract_y
_atom_site_fract_z
_atom_site_occupancy
Sm1 Sm 0.000 0.000 0.000 1
Sm2 Sm 0.000 0.500 0.500 1
Sm3 Sm 0.500 0.000 0.500 1
Sm4 Sm 0.500 0.500 0.000 1
Pu1 Pu 0.500 0.500 0.500 1
Th1 Th 0.000 0.000 0.500 1
Th2 Th 0.000 0.500 0.000 1
Th3 Th 0.500 0.000 0.000 1
S1 S 0.251 0.251 0.746 1
S2 S 0.251 0.746 0.251 1
S3 S 0.252 0.252 0.252 1
S4 S 0.254 0.749 0.749 1
S5 S 0.746 0.251 0.251 1
S6 S 0.748 0.748 0.748 1
S7 S 0.749 0.254 0.749 1
S8 S 0.749 0.749 0.254 1



Number 1: final energy -93.47 eV/f.u.. Number 2: final energy -102.70 eV/f.u.. Number 3: final energy -72.24 eV/f.u.. Number 4: final energy -119.25 eV/f.u..